A plane-wave DFT calculation with PBEsol was carried out for a relaxed structure of LaSi3O.

Formation energy from raw total energies in eV/f.u.: -2.10
Magnetic moment in μB/f.u.: 0.00
Energy above the most stable polymorph in this dataset in meV per atom: 0
N(E_F) in states/eV per atom: 0.395

a b c (Å): 4.364 4.364 4.364
angles (deg): 90.00 90.00 90.00
Atoms (fractional coordinates):
La (0.000, 0.000, 0.000)
Si (0.000, 0.500, 0.500)
Si (0.500, 0.000, 0.500)
Si (0.500, 0.500, 0.000)
O (0.500, 0.500, 0.500)

***

A plane-wave DFT calculation with PBEsol was carried out for a relaxed structure of LaSi3O.

Formation energy from raw total energies in eV/f.u.: 9.55
Magnetic moment in μB/f.u.: 2.13
Energy above the most stable polymorph in this dataset in meV per atom: 2329
N(E_F) in states/eV per atom: 1.247

a b c (Å): 5.496 5.496 5.496
angles (deg): 90.00 90.00 90.00
Atoms (fractional coordinates):
La (0.000, 0.000, 0.000)
Si (0.000, 0.000, 0.500)
Si (0.000, 0.500, 0.000)
Si (0.500, 0.000, 0.000)
O (0.500, 0.500, 0.500)

***

A plane-wave DFT calculation with PBEsol was carried out for a relaxed structure of LaSi2O.

Formation energy from raw total energies in eV/f.u.: -2.26
Magnetic moment in μB/f.u.: 0.00
N(E_F) in states/eV per atom: 0.938

a b c (Å): 4.723 4.723 13.729
angles (deg): 90.00 90.00 90.00
Atoms (fractional coordinates):
La (0.000, 0.000, 0.000)
La (0.000, 0.500, 0.250)
La (0.500, 0.000, 0.750)
La (0.500, 0.500, 0.500)
Si (0.036, 0.750, 0.625)
Si (0.250, 0.036, 0.375)
Si (0.250, 0.464, 0.875)
Si (0.464, 0.750, 0.125)
Si (0.536, 0.250, 0.125)
Si (0.750, 0.536, 0.875)
Si (0.750, 0.964, 0.375)
Si (0.964, 0.250, 0.625)
O (0.000, 0.000, 0.500)
O (0.000, 0.500, 0.750)
O (0.500, 0.000, 0.250)
O (0.500, 0.500, 0.000)

***

Question: What is the N(E_F) in the third record?
Answer: 0.938 states/eV per atom